1.
The following is a DFT calculation (GGA-PBE) of an optimized crystal structure of CoPtC2N.

## Properties
- ΔE_f (raw): 2.02 eV/atom
- Symmetry: No. 123

Lattice parameters (Å, degrees): 3.408 3.408 5.238 90.00 90.00 90.00
Fractional coordinates of all 5 atoms:
Co1 0.000 0.000 0.000
Pt1 0.000 0.000 0.500
C1 0.000 0.500 0.000
C2 0.500 0.000 0.000
N1 0.500 0.500 0.500

=====

2.
The following is a DFT calculation (GGA-PBE) of an optimized crystal structure of LaFeAs2.

## Properties
- Symmetry: No. 122
- Distance to the lowest polymorph of the same formula: 0.237 eV/atom

Lattice parameters (Å, degrees): 4.972 4.972 15.311 90.00 90.00 90.00
Fractional coordinates of all 16 atoms:
La1 0.000 0.000 0.000
La2 0.000 0.500 0.250
La3 0.500 0.000 0.750
La4 0.500 0.500 0.500
Fe1 0.000 0.000 0.500
Fe2 0.000 0.500 0.750
Fe3 0.500 0.000 0.250
Fe4 0.500 0.500 0.000
As1 0.084 0.250 0.625
As2 0.250 0.584 0.875
As3 0.250 0.916 0.375
As4 0.416 0.250 0.125
As5 0.584 0.750 0.125
As6 0.750 0.084 0.375
As7 0.750 0.416 0.875
As8 0.916 0.750 0.625

=====

3.
The following is a DFT calculation (GGA-PBE) of an optimized crystal structure of LaOsNF2.

## Properties
- ΔE_f (raw): -0.32 eV/atom
- Symmetry: No. 123
- Distance to the lowest polymorph of the same formula: 0.709 eV/atom

Lattice parameters (Å, degrees): 4.498 4.498 5.080 90.00 90.00 90.00
Fractional coordinates of all 5 atoms:
La1 0.000 0.000 0.000
Os1 0.500 0.500 0.500
N1 0.000 0.000 0.500
F1 0.000 0.500 0.000
F2 0.500 0.000 0.000

=====

4.
The following is a DFT calculation (GGA-PBE) of an optimized crystal structure of Cs4Hg3Pt.

## Properties
- DFT total energy: -1.48 eV/atom
- Symmetry: No. 25

Lattice parameters (Å, degrees): 5.155 5.450 13.288 90.00 90.00 90.00
Fractional coordinates of all 8 atoms:
Cs1 0.000 0.000 0.000
Cs2 0.000 0.500 0.438
Cs3 0.500 0.000 0.667
Cs4 0.500 0.500 0.180
Hg1 0.000 0.500 0.764
Hg2 0.500 0.000 0.361
Hg3 0.500 0.500 0.884
Pt1 0.000 0.000 0.271

=====

5.
The following is a DFT calculation (GGA-PBE) of an optimized crystal structure of NaPd2Pt2.

## Properties
- Symmetry: No. 139
- Distance to the lowest polymorph of the same formula: 0.259 eV/atom

Lattice parameters (Å, degrees): 3.852 3.852 12.667 90.00 90.00 90.00
Fractional coordinates of all 10 atoms:
Na1 0.000 0.000 0.000
Na2 0.500 0.500 0.500
Pd1 0.000 0.000 0.398
Pd2 0.000 0.000 0.602
Pd3 0.500 0.500 0.102
Pd4 0.500 0.500 0.898
Pt1 0.000 0.500 0.250
Pt2 0.000 0.500 0.750
Pt3 0.500 0.000 0.250
Pt4 0.500 0.000 0.750

=====

6.
The following is a DFT calculation (GGA-PBE) of an optimized crystal structure of AcHoSi2Pd2.

## Properties
- ΔE_f (raw): -0.90 eV/atom
- Symmetry: No. 164

Lattice parameters (Å, degrees): 4.277 4.277 8.275 90.00 90.00 120.00
Fractional coordinates of all 6 atoms:
Ac1 0.000 0.000 0.000
Ho1 0.000 0.000 0.500
Si1 0.333 0.667 0.270
Si2 0.667 0.333 0.730
Pd1 0.333 0.667 0.716
Pd2 0.667 0.333 0.284

=====

7.
The following is a DFT calculation (GGA-PBE) of an optimized crystal structure of SrInAu2.

## Properties
- DFT total energy: -3.10 eV/atom
- Symmetry: No. 216

Lattice parameters (Å, degrees): 7.263 7.263 7.263 90.00 90.00 90.00
Fractional coordinates of all 16 atoms:
Sr1 0.000 0.000 0.000
Sr2 0.000 0.500 0.500
Sr3 0.500 0.000 0.500
Sr4 0.500 0.500 0.000
In1 0.250 0.250 0.750
In2 0.250 0.750 0.250
In3 0.750 0.250 0.250
In4 0.750 0.750 0.750
Au1 0.000 0.000 0.500
Au2 0.000 0.500 0.000
Au3 0.250 0.250 0.250
Au4 0.250 0.750 0.750
Au5 0.500 0.000 0.000
Au6 0.500 0.500 0.500
Au7 0.750 0.250 0.750
Au8 0.750 0.750 0.250

=====

8.
The following is a DFT calculation (GGA-PBE) of an optimized crystal structure of LiTiGa6.

## Properties
- Symmetry: No. 123
- Distance to the lowest polymorph of the same formula: 0.000 eV/atom

Lattice parameters (Å, degrees): 5.692 5.692 3.963 90.00 90.00 90.00
Fractional coordinates of all 8 atoms:
Li1 0.000 0.000 0.000
Ti1 0.500 0.500 0.000
Ga1 0.000 0.500 0.000
Ga2 0.248 0.248 0.500
Ga3 0.248 0.752 0.500
Ga4 0.500 0.000 0.000
Ga5 0.752 0.248 0.500
Ga6 0.752 0.752 0.500